No. 1
This record from Alexandria via LeMat-Bulk describes a geometry-optimized La2PrY2Ho structure. The functional is PBE-GGA.

As for the space-group type: Pnnm. Its formation energy is 262 meV per atom. The total energy is -5.0945 eV/atom. Its total magnetic moment is 0.001 μB per cell.

abc: 6.689 18.413 3.440
angles: 90.00 90.00 90.00
Atoms (fractional coordinates):
La  0.225  0.186  0.000
La  0.275  0.686  0.500
La  0.725  0.314  0.500
La  0.775  0.814  0.000
Pr  0.000  0.500  0.000
Pr  0.500  0.000  0.500
Y  0.223  0.355  0.500
Y  0.277  0.855  0.000
Y  0.723  0.145  0.000
Y  0.777  0.645  0.500
Ho  0.000  0.000  0.000
Ho  0.500  0.500  0.500



No. 2
This record from Alexandria via LeMat-Bulk describes a geometry-optimized LaPrYHo2 structure. The functional is PBE-GGA.

As for the space-group type: Cmcm. Its formation energy is 320 meV per atom. The total energy is -4.7450 eV/atom. Its total magnetic moment is 0.000 μB per cell.

abc: 8.974 8.974 6.484
angles: 90.00 90.00 137.42
Atoms (fractional coordinates):
La  0.226  0.774  0.750
La  0.774  0.226  0.250
Pr  0.156  0.844  0.250
Pr  0.844  0.156  0.750
Y  0.346  0.654  0.250
Y  0.654  0.346  0.750
Ho  0.247  0.247  0.000
Ho  0.247  0.247  0.500
Ho  0.753  0.753  0.000
Ho  0.753  0.753  0.500



No. 3
This record from Alexandria via LeMat-Bulk describes a geometry-optimized La3PrY2Ho6 structure. The functional is PBE-GGA.

As for the space-group type: C2/m. Its formation energy is 20 meV per atom. The total energy is -4.9760 eV/atom. Its total magnetic moment is 0.000 μB per cell.

abc: 6.250 6.250 11.882
angles: 95.02 95.02 120.00
Atoms (fractional coordinates):
La  0.000  0.000  0.000
La  0.333  0.667  0.000
La  0.667  0.333  0.000
Pr  0.500  0.500  0.500
Y  0.167  0.833  0.500
Y  0.833  0.167  0.500
Ho  0.084  0.418  0.253
Ho  0.249  0.249  0.747
Ho  0.418  0.084  0.253
Ho  0.582  0.916  0.747
Ho  0.751  0.751  0.253
Ho  0.916  0.582  0.747



No. 4
This record from Alexandria via LeMat-Bulk describes a geometry-optimized La3PrY6Ho2 structure. The functional is PBE-GGA.

As for the space-group type: C2/m. Its formation energy is 17 meV per atom. The total energy is -5.6081 eV/atom. Its total magnetic moment is 0.000 μB per cell.

abc: 6.275 6.275 11.928
angles: 95.02 95.02 120.00
Atoms (fractional coordinates):
La  0.000  0.000  0.000
La  0.333  0.667  0.000
La  0.667  0.333  0.000
Pr  0.500  0.500  0.500
Y  0.084  0.418  0.254
Y  0.248  0.248  0.746
Y  0.418  0.084  0.254
Y  0.582  0.916  0.746
Y  0.752  0.752  0.254
Y  0.916  0.582  0.746
Ho  0.167  0.833  0.500
Ho  0.833  0.167  0.500



No. 5
This record from Alexandria via LeMat-Bulk describes a geometry-optimized LaPr2YHo2 structure. The functional is PBE-GGA.

As for the space-group type: Pmc2_1. Its formation energy is 71 meV per atom. The total energy is -4.9462 eV/atom. Its total magnetic moment is 0.000 μB per cell.

abc: 5.729 10.081 7.073
angles: 90.00 90.00 90.00
Atoms (fractional coordinates):
La  0.000  0.179  0.000
La  0.000  0.821  0.500
Pr  0.000  0.485  0.309
Pr  0.000  0.515  0.809
Pr  0.500  0.311  0.569
Pr  0.500  0.689  0.069
Y  0.500  0.016  0.262
Y  0.500  0.984  0.762
Ho  0.000  0.145  0.510
Ho  0.000  0.855  0.010
Ho  0.500  0.356  0.062
Ho  0.500  0.644  0.562



No. 6
This record from Alexandria via LeMat-Bulk describes a geometry-optimized LaHo3Pt2 structure. The functional is PBE-GGA.

As for the space-group type: Pmc2_1. Its formation energy is -933 meV per atom. The total energy is -6.0568 eV/atom. Its total magnetic moment is 0.006 μB per cell.

abc: 4.801 8.925 7.209
angles: 90.00 90.00 90.00
Atoms (fractional coordinates):
La  0.000  0.079  0.000
La  0.000  0.921  0.500
Ho  0.000  0.339  0.637
Ho  0.000  0.661  0.137
Ho  0.500  0.180  0.353
Ho  0.500  0.422  0.983
Ho  0.500  0.578  0.483
Ho  0.500  0.820  0.853
Pt  0.000  0.346  0.238
Pt  0.000  0.654  0.738
Pt  0.500  0.167  0.744
Pt  0.500  0.833  0.244



No. 7
This record from Alexandria via LeMat-Bulk describes a geometry-optimized LaHoPt2 structure. The functional is PBE-GGA.

As for the space-group type: R-3m. Its formation energy is -1161 meV per atom. Its energy above the most stable polymorph in this dataset is 70 meV/atom. The total energy is -6.5577 eV/atom. Its total magnetic moment is 0.000 μB per cell.

abc: 4.159 4.159 20.244
angles: 90.00 90.00 120.00
Atoms (fractional coordinates):
La  0.000  0.000  0.000
La  0.333  0.667  0.667
La  0.667  0.333  0.333
Ho  0.000  0.000  0.500
Ho  0.333  0.667  0.167
Ho  0.667  0.333  0.833
Pt  0.000  0.000  0.245
Pt  0.000  0.000  0.755
Pt  0.333  0.667  0.422
Pt  0.333  0.667  0.911
Pt  0.667  0.333  0.089
Pt  0.667  0.333  0.578



No. 8
This record from Alexandria via LeMat-Bulk describes a geometry-optimized La3HoPt8 structure. The functional is PBE-GGA.

As for the space-group type: R3m. Its formation energy is -1102 meV per atom. The total energy is -6.7423 eV/atom. Its total magnetic moment is 0.000 μB per cell.

abc: 9.574 9.574 9.574
angles: 33.54 33.54 33.54
Atoms (fractional coordinates):
La  0.000  0.000  0.000
La  0.126  0.126  0.126
La  0.501  0.501  0.501
Ho  0.626  0.626  0.626
Pt  0.060  0.563  0.563
Pt  0.064  0.064  0.565
Pt  0.064  0.565  0.064
Pt  0.313  0.313  0.313
Pt  0.563  0.060  0.563
Pt  0.563  0.563  0.060
Pt  0.565  0.064  0.064
Pt  0.813  0.813  0.813



No. 9
This record from Alexandria via LeMat-Bulk describes a geometry-optimized LaHoPt2 structure. The functional is PBE-GGA.

As for the space-group type: Amm2. Its formation energy is -1231 meV per atom. Its energy above the most stable polymorph in this dataset is 0 meV/atom. The total energy is -6.6280 eV/atom. Its total magnetic moment is 0.000 μB per cell.

abc: 4.552 3.858 10.798
angles: 90.00 90.00 90.00
Atoms (fractional coordinates):
La  0.000  0.000  0.000
La  0.000  0.500  0.500
Ho  0.500  0.000  0.273
Ho  0.500  0.500  0.773
Pt  0.000  0.000  0.729
Pt  0.000  0.500  0.229
Pt  0.500  0.000  0.550
Pt  0.500  0.500  0.050



No. 10
This record from Alexandria via LeMat-Bulk describes a geometry-optimized LaHo3Pt8 structure. The functional is PBE-GGA.

As for the space-group type: P3m1. Its formation energy is -1057 meV per atom. The total energy is -6.6396 eV/atom. Its total magnetic moment is 0.000 μB per cell.

abc: 5.473 5.473 8.940
angles: 90.00 90.00 120.00
Atoms (fractional coordinates):
La  0.000  0.000  0.000
Ho  0.000  0.000  0.374
Ho  0.667  0.333  0.493
Ho  0.667  0.333  0.858
Pt  0.165  0.330  0.679
Pt  0.165  0.835  0.679
Pt  0.333  0.667  0.430
Pt  0.333  0.667  0.931
Pt  0.503  0.006  0.185
Pt  0.503  0.497  0.185
Pt  0.670  0.835  0.679
Pt  0.994  0.497  0.185



No. 11
This record from Alexandria via LeMat-Bulk describes a geometry-optimized LaHo3Pt structure. The functional is PBE-GGA.

As for the space-group type: Cmcm. Its formation energy is -418 meV per atom. Its energy above the most stable polymorph in this dataset is 0 meV/atom. The total energy is -5.3584 eV/atom. Its total magnetic moment is 0.000 μB per cell.

abc: 7.607 7.607 6.167
angles: 90.00 90.00 119.98
Atoms (fractional coordinates):
La  0.167  0.833  0.750
La  0.833  0.167  0.250
Ho  0.143  0.321  0.750
Ho  0.321  0.143  0.250
Ho  0.322  0.678  0.250
Ho  0.678  0.322  0.750
Ho  0.679  0.857  0.750
Ho  0.857  0.679  0.250
Pt  0.500  0.500  0.000
Pt  0.500  0.500  0.500



No. 12
This record from Alexandria via LeMat-Bulk describes a geometry-optimized LaHo2Pt2 structure. The functional is PBE-GGA.

As for the space-group type: P2_1/m. Its formation energy is -1037 meV per atom. The total energy is -6.2700 eV/atom. Its total magnetic moment is 0.000 μB per cell.

abc: 5.452 4.690 10.491
angles: 90.00 96.42 90.00
Atoms (fractional coordinates):
La  0.084  0.250  0.280
La  0.916  0.750  0.720
Ho  0.272  0.750  0.026
Ho  0.373  0.250  0.613
Ho  0.627  0.750  0.387
Ho  0.728  0.250  0.974
Pt  0.162  0.750  0.476
Pt  0.205  0.250  0.869
Pt  0.795  0.750  0.131
Pt  0.838  0.250  0.524